# 1
Density functional theory data (PBE) for a geometry-optimized MgNbAlH2 structure.

abc: 3.8471 3.8471 5.4099
angles: 90.00 90.00 90.00
Closest atoms and distances in Å follow each position.
Atoms (fractional coordinates):
Mg 0.0000 0.0000 0.0000  4 Nb 2.72
Nb 0.5000 0.5000 0.0000  2 Al 2.70, 4 Mg 2.72
Al 0.5000 0.5000 0.5000  4 H 1.92
H 0.0000 0.5000 0.5000  2 Al 1.92
H 0.5000 0.0000 0.5000  2 Al 1.92

Results
Space-group type = P4/mmm (123)
Size of the total moment = 1.249 μB/f.u.
VASP energy = -3.48 eV per atom



# 2
Density functional theory data (PBE) for a geometry-optimized BaTmAs2Pd2 structure.

abc: 4.3538 4.3538 8.4539
angles: 90.00 90.00 120.00
Closest atoms and distances in Å follow each position.
Atoms (fractional coordinates):
Ba 0.0000 0.0000 0.0000  6 As 3.46, 6 Pd 3.54
Tm 0.0000 0.0000 0.5000  6 Pd 3.05, 6 As 3.12
As 0.3333 0.6667 0.2810  3 Pd 2.52
As 0.6667 0.3333 0.7190  3 Pd 2.52
Pd 0.3333 0.6667 0.7046  3 As 2.52
Pd 0.6667 0.3333 0.2954  3 As 2.52

Results
Formation enthalpy at 0 K = -24.33 kcal/mol of atoms
Space-group type = P-3m1 (164)
Size of the total moment = 0.000 μB/f.u.



# 3
Density functional theory data (PBE) for a geometry-optimized Ca2Al3Ag17 structure.

abc: 7.7486 7.7486 7.7486
angles: 84.32 84.32 84.32
Closest atoms and distances in Å follow each position.
Atoms (fractional coordinates):
Ca 0.1654 0.1654 0.1654  3 Al 3.00
Ca 0.8346 0.8346 0.8346  3 Al 3.00
Al 0.0000 0.0000 0.5000  4 Ag 2.47-2.52
Al 0.0000 0.5000 0.0000  4 Ag 2.47-2.52
Al 0.5000 0.0000 0.0000  4 Ag 2.47-2.52
Ag 0.0000 0.5000 0.5000  10 Ag 2.88-3.16
Ag 0.1673 0.1673 0.6806  1 Al 2.52
Ag 0.1673 0.6806 0.1673  1 Al 2.52
Ag 0.2373 0.5000 0.7627  1 Al 2.47, 2 Ag 2.73
Ag 0.2373 0.7627 0.5000  1 Al 2.47, 2 Ag 2.73
Ag 0.3194 0.8327 0.8327  1 Al 2.52
Ag 0.3997 0.3997 0.3997  13 Ag 2.95-3.21
Ag 0.5000 0.0000 0.5000  10 Ag 2.88-3.16
Ag 0.5000 0.2373 0.7627  1 Al 2.47, 2 Ag 2.73
Ag 0.5000 0.5000 0.0000  10 Ag 2.88-3.16
Ag 0.5000 0.7627 0.2373  1 Al 2.47, 2 Ag 2.73
Ag 0.6003 0.6003 0.6003  13 Ag 2.95-3.21
Ag 0.6806 0.1673 0.1673  1 Al 2.52
Ag 0.7627 0.2373 0.5000  1 Al 2.47, 2 Ag 2.73
Ag 0.7627 0.5000 0.2373  1 Al 2.47, 2 Ag 2.73
Ag 0.8327 0.3194 0.8327  1 Al 2.52
Ag 0.8327 0.8327 0.3194  1 Al 2.52

Results
Formation enthalpy at 0 K = 2.30 kcal/mol of atoms
Space-group type = R-3m (166)
Size of the total moment = 0.000 μB/f.u.



# 4
Density functional theory data (PBE) for a geometry-optimized SbPPb structure.

abc: 7.0280 3.6772 7.3330
angles: 90.00 116.22 90.00
Closest atoms and distances in Å follow each position.
Atoms (fractional coordinates):
Sb 0.0000 0.0000 0.0000  2 P 2.59
Sb 0.2953 0.0000 0.7184  2 P 2.67
P 0.2820 0.5000 0.1775  1 P 2.24
P 0.4798 0.5000 0.0080  1 P 2.24
Pb 0.6075 0.5000 0.5940  1 P 2.90
Pb 0.8173 0.0000 0.3193  2 P 3.07, 2 Sb 3.13-3.34

Results
ΔE_f (raw) = 0.11 eV/atom
Space-group type = Pm (6)
Size of the total moment = 0.000 μB/f.u.
Distance to the lowest polymorph of the same formula = 0.858 kcal/mol of atoms



# 5
Density functional theory data (PBE) for a geometry-optimized YCd2In structure.

abc: 3.3626 5.0491 5.9750
angles: 90.00 90.12 90.00
Closest atoms and distances in Å follow each position.
Atoms (fractional coordinates):
Y 0.0000 0.0000 0.0000  8 Cd 3.36, 2 Y 3.36, 4 In 3.43
Cd 0.4993 0.5000 0.7595  2 Cd 2.87-3.10, 2 In 2.96
Cd 0.5007 0.5000 0.2405  2 Cd 2.87-3.10, 2 In 2.96
In 0.5000 0.0000 0.5000  4 Cd 2.96

Results
Formation enthalpy at 0 K = -5.56 kcal/mol of atoms
Space-group type = P2/m (10)
Size of the total moment = 0.002 μB/f.u.



# 6
Density functional theory data (PBE) for a geometry-optimized Lu2HfMg structure.

abc: 3.3526 3.3526 9.1973
angles: 90.00 90.00 90.00
Closest atoms and distances in Å follow each position.
Atoms (fractional coordinates):
Lu 0.0000 0.0000 0.2417  4 Hf 3.25, 4 Lu 3.35, 4 Mg 3.36
Lu 0.0000 0.0000 0.7583  4 Hf 3.25, 4 Lu 3.35, 4 Mg 3.36
Hf 0.5000 0.5000 0.0000  8 Lu 3.25, 4 Hf 3.35
Mg 0.5000 0.5000 0.5000  4 Mg 3.35, 8 Lu 3.36

Results
Formation enthalpy at 0 K = -0.19 kcal/mol of atoms
Space-group type = P4/mmm (123)
Size of the total moment = 0.000 μB/f.u.
Distance to the lowest polymorph of the same formula = 0.000 kcal/mol of atoms



# 7
Density functional theory data (PBE) for a geometry-optimized SmGd2Au structure.

abc: 3.6535 3.6535 8.6224
angles: 90.00 90.00 90.00
Closest atoms and distances in Å follow each position.
Atoms (fractional coordinates):
Sm 0.0000 0.0000 0.0000  8 Gd 3.62, 4 Sm 3.65
Gd 0.5000 0.5000 0.2940  4 Au 3.13
Gd 0.5000 0.5000 0.7060  4 Au 3.13
Au 0.0000 0.0000 0.5000  8 Gd 3.13

Results
Formation enthalpy at 0 K = -9.03 kcal/mol of atoms
Space-group type = P4/mmm (123)
Size of the total moment = 15.000 μB/f.u.
Distance to the lowest polymorph of the same formula = 0.000 kcal/mol of atoms



# 8
Density functional theory data (PBE) for a geometry-optimized EuDy2Tc structure.

abc: 3.4928 3.4928 9.2832
angles: 90.00 90.00 90.00
Closest atoms and distances in Å follow each position.
Atoms (fractional coordinates):
Eu 0.0000 0.0000 0.0000  4 Eu 3.49, 8 Dy 3.90
Dy 0.5000 0.5000 0.3258  4 Tc 2.95, 1 Dy 3.24
Dy 0.5000 0.5000 0.6742  4 Tc 2.95, 1 Dy 3.24
Tc 0.0000 0.0000 0.5000  8 Dy 2.95

Results
Formation enthalpy at 0 K = 0.05 kcal/mol of atoms
Space-group type = P4/mmm (123)
Size of the total moment = 7.887 μB/f.u.